Record 1
The following is a DFT calculation (PBE) of a relaxed structure of ZnRuPt.

a b c (Å): 2.740 2.740 11.603
angles (deg): 90.00 90.00 90.00
Space group I4mm (No. 107)
Unique sites:
Zn  0.000  0.000  0.000 (multiplicity 2)
Ru  0.000  0.000  0.665 (multiplicity 2)
Pt  0.000  0.000  0.331 (multiplicity 2)

Summary:
Energy above the most stable polymorph in this dataset in eV/atom: 0.0000
Density in g cm⁻³: 13.78
ΔH_f (0 K) in eV per atom: -0.10
Crystal system: tetragonal
Total energy in eV/cell: -33.78

Record 2
The following is a DFT calculation (PBE) of a relaxed structure of ZrRuPt2.

a b c (Å): 9.257 3.052 4.837
angles (deg): 90.00 102.65 90.00
Space group Cm (No. 8)
Unique sites:
Zr  0.000  0.000  0.000 (multiplicity 2)
Ru  0.256  0.000  0.732 (multiplicity 2)
Pt  0.007  0.500  0.512 (multiplicity 2)
Pt  0.253  0.500  0.252 (multiplicity 2)

Summary:
Density in g cm⁻³: 14.51
ΔH_f (0 K) in eV per atom: -0.46
Crystal system: monoclinic
Total energy in eV/cell: -63.46

Record 3
The following is a DFT calculation (PBE) of a relaxed structure of ZrRuPt.

a b c (Å): 3.010 3.827 8.885
angles (deg): 90.00 90.00 90.00
Space group Imm2 (No. 44)
Unique sites:
Zr  0.000  0.000  0.000 (multiplicity 2)
Ru  0.000  0.000  0.343 (multiplicity 2)
Pt  0.000  0.000  0.677 (multiplicity 2)

Summary:
Energy above the most stable polymorph in this dataset in eV/atom: 0.0000
Density in g cm⁻³: 12.57
ΔH_f (0 K) in eV per atom: -0.39
Crystal system: orthorhombic
Total energy in eV/cell: -50.09

Record 4
The following is a DFT calculation (PBE) of a relaxed structure of ZrRuPt2.

a b c (Å): 3.863 3.863 18.997
angles (deg): 90.00 90.00 90.00
Space group I-42d (No. 122)
Unique sites:
Zr  0.000  0.000  0.000 (multiplicity 4)
Ru  0.000  0.000  0.500 (multiplicity 4)
Pt  0.238  0.250  0.625 (multiplicity 8)

Summary:
Density in g cm⁻³: 13.65
ΔH_f (0 K) in eV per atom: -0.25
Crystal system: tetragonal
Total energy in eV/cell: -123.68

Record 5
The following is a DFT calculation (PBE) of a relaxed structure of ZrRuPt2.

a b c (Å): 4.050 4.050 7.995
angles (deg): 90.00 90.00 90.00
Space group I-4m2 (No. 119)
Unique sites:
Zr  0.000  0.000  0.000 (multiplicity 2)
Ru  0.000  0.500  0.750 (multiplicity 2)
Pt  0.000  0.000  0.500 (multiplicity 2)
Pt  0.000  0.500  0.250 (multiplicity 2)

Summary:
Density in g cm⁻³: 14.75
ΔH_f (0 K) in eV per atom: -0.60
Crystal system: tetragonal
Total energy in eV/cell: -64.63

Record 6
The following is a DFT calculation (PBE) of a relaxed structure of ZrRuPt2.

a b c (Å): 6.449 6.449 6.449
angles (deg): 90.00 90.00 90.00
Space group F-43m (No. 216)
Unique sites:
Zr  0.000  0.000  0.000 (multiplicity 4)
Ru  0.250  0.250  0.750 (multiplicity 4)
Pt  0.000  0.000  0.500 (multiplicity 4)
Pt  0.250  0.250  0.250 (multiplicity 4)

Summary:
Density in g cm⁻³: 14.43
ΔH_f (0 K) in eV per atom: -0.39
Crystal system: cubic
Total energy in eV/cell: -125.93

Record 7
The following is a DFT calculation (PBE) of a relaxed structure of ZrRuPt2.

a b c (Å): 3.965 3.965 8.285
angles (deg): 90.00 90.00 90.00
Space group I4/mmm (No. 139)
Unique sites:
Zr  0.000  0.000  0.000 (multiplicity 2)
Ru  0.000  0.000  0.500 (multiplicity 2)
Pt  0.000  0.500  0.250 (multiplicity 4)

Summary:
Density in g cm⁻³: 14.85
ΔH_f (0 K) in eV per atom: -0.67
Crystal system: tetragonal
Total energy in eV/cell: -65.19

Record 8
The following is a DFT calculation (PBE) of a relaxed structure of ZrRuPt2.

a b c (Å): 5.590 7.994 2.932
angles (deg): 90.00 90.00 90.00
Space group Cmmm (No. 65)
Unique sites:
Zr  0.000  0.000  0.000 (multiplicity 2)
Ru  0.000  0.500  0.000 (multiplicity 2)
Pt  0.250  0.250  0.500 (multiplicity 4)

Summary:
Density in g cm⁻³: 14.76
ΔH_f (0 K) in eV per atom: -0.54
Crystal system: orthorhombic
Total energy in eV/cell: -64.11

Record 9
The following is a DFT calculation (PBE) of a relaxed structure of ZrRuPt2.

a b c (Å): 2.8554 2.8554 28.1758
angles (deg): 90.00 90.00 120.00
Space group R3m (No. 160, hexagonal axes)
Unique sites:
Zr  0.0000  0.0000  0.0000 (multiplicity 3)
Ru  0.0000  0.0000  0.2467 (multiplicity 3)
Pt  0.0000  0.0000  0.5023 (multiplicity 3)
Pt  0.0000  0.0000  0.7510 (multiplicity 3)

Summary:
Density in g cm⁻³: 14.58
ΔH_f (0 K) in eV per atom: -0.10
Crystal system: trigonal
Total energy in eV/cell: -90.88

Record 10
The following is a DFT calculation (PBE) of a relaxed structure of Zr6RuPt.

a b c (Å): 4.722 4.722 14.760
angles (deg): 90.00 90.00 90.00
Space group I4/mmm (No. 139)
Unique sites:
Zr  0.000  0.000  0.249 (multiplicity 4)
Zr  0.000  0.500  0.110 (multiplicity 8)
Ru  0.000  0.000  0.000 (multiplicity 2)
Pt  0.000  0.000  0.500 (multiplicity 2)

Summary:
Density in g cm⁻³: 8.51
ΔH_f (0 K) in eV per atom: -0.40
Crystal system: tetragonal
Total energy in eV/cell: -139.59

Record 11
The following is a DFT calculation (PBE) of a relaxed structure of Zr2Ru2Pt.

a b c (Å): 7.032 7.032 3.626
angles (deg): 90.00 90.00 90.00
Space group P4/mbm (No. 127)
Unique sites:
Zr  0.183  0.317  0.000 (multiplicity 4)
Ru  0.127  0.627  0.500 (multiplicity 4)
Pt  0.000  0.000  0.500 (multiplicity 2)

Summary:
Density in g cm⁻³: 10.74
ΔH_f (0 K) in eV per atom: -0.48
Crystal system: tetragonal
Total energy in eV/cell: -88.22

Record 12
The following is a DFT calculation (PBE) of a relaxed structure of Zr2RuPt2.

a b c (Å): 7.286 7.286 3.487
angles (deg): 90.00 90.00 90.00
Space group P4/mbm (No. 127)
Unique sites:
Zr  0.174  0.326  0.000 (multiplicity 4)
Ru  0.000  0.000  0.500 (multiplicity 2)
Pt  0.130  0.630  0.500 (multiplicity 4)

Summary:
Density in g cm⁻³: 12.09
ΔH_f (0 K) in eV per atom: -0.65
Crystal system: tetragonal
Total energy in eV/cell: -83.39